Re2SbRh meta-GGA SCAN single point on PBEsol structure; Fermi-level density of states = 2.12 states/eV per cell; mass density = 16.01 g cm⁻³; total DFT energy (no corrections) = -211.56 eV/cell; E_form (uncorrected) = 161 kJ/mol of formula units
1.0
3.1132 0.0000 0.0000
0.0000 4.5085 0.0000
-1.5566 -2.2543 4.4120
Re Rh Sb
2 1 1
Cartesian
1.5566 2.2543 4.3290
1.5566 0.0000 2.1513
1.5566 2.2543 0.1693
0.0000 2.2543 2.1742

---

ReSbRh2 meta-GGA SCAN single point on PBEsol structure; Fermi-level density of states = 1.57 states/eV per cell; mass density = 14.13 g cm⁻³; total DFT energy (no corrections) = -175.54 eV/cell; E_form (uncorrected) = 35 kJ/mol of formula units
1.0
-3.1378 1.7507 1.5614
1.1410 -1.1394 3.5705
3.0563 3.0222 -2.1616
Re Rh Sb
1 2 1
Cartesian
-0.9984 0.3057 2.5659
-0.5399 2.5393 0.9828
1.5995 1.0942 1.9874
0.0000 0.0000 0.0000

---

ReSb2TeRh meta-GGA SCAN single point on PBEsol structure; Fermi-level density of states = 3.89 states/eV per cell; mass density = 8.80 g cm⁻³; total DFT energy (no corrections) = -210.15 eV/cell; E_form (uncorrected) = 626 kJ/mol of formula units
1.0
4.9363 0.0000 0.0000
0.0000 4.9363 0.0000
0.0000 0.0000 5.1102
Re Te Rh Sb
1 1 1 2
Cartesian
2.4681 2.4681 2.5551
0.0000 0.0000 2.5551
0.0000 0.0000 0.0000
0.0000 2.4681 0.0000
2.4681 0.0000 0.0000

---

ScRe2Rh meta-GGA SCAN single point on PBEsol structure; Fermi-level density of states = 3.54 states/eV per cell; mass density = 14.06 g cm⁻³; total DFT energy (no corrections) = -190.49 eV/cell; formation energy from the elements = -6.84 kJ per mole of atoms
1.0
-1.2047 -2.7137 1.0877
3.8766 -2.1044 -0.9569
0.1384 3.3336 3.8742
Re Rh Sc
2 1 1
Cartesian
0.0440 0.0276 0.1175
0.1122 -0.9088 2.4530
1.4495 0.9090 3.8733
2.6790 -0.5877 1.5007

---

ScRe2Rh meta-GGA SCAN single point on PBEsol structure; Fermi-level density of states = 4.02 states/eV per cell; mass density = 14.29 g cm⁻³; total DFT energy (no corrections) = -188.89 eV/cell; formation energy from the elements = 31.60 kJ per mole of atoms
1.0
-2.7261 3.4499 0.2686
-3.4280 -0.1116 2.7644
-0.0039 2.5286 3.6072
Re Rh Sc
2 1 1
Cartesian
-1.5395 1.4667 1.6600
-4.6185 4.4001 4.9801
0.0000 0.0000 0.0000
-3.0790 2.9334 3.3201

---

ScReRh2 meta-GGA SCAN single point on PBEsol structure; Fermi-level density of states = 7.27 states/eV per cell; mass density = 12.00 g cm⁻³; total DFT energy (no corrections) = -153.42 eV/cell; formation energy from the elements = -12.98 kJ per mole of atoms
1.0
4.4063 0.0000 0.0000
2.2031 3.8159 0.0000
2.2031 1.2720 3.5977
Re Rh Sc
1 2 1
Cartesian
0.0000 0.0000 0.0000
6.6094 3.8159 2.6983
2.2031 1.2720 0.8994
4.4063 2.5440 1.7988